The following is a GGA-PBE calculation of a relaxed Rb6HgAu2F crystal, from Alexandria via LeMat-Bulk.

Geometry as CIF:
```
data_Rb6HgAu2F
_space_group_name_H-M_alt 'P 1'
_space_group_IT_number 1
_cell_length_a 8.348
_cell_length_b 8.343
_cell_length_c 9.242
_cell_angle_alpha 63.17
_cell_angle_beta 63.15
_cell_angle_gamma 60.02
loop_
_space_group_symop_operation_xyz
'x,y,z'
loop_
_atom_site_label
_atom_site_fract_x
_atom_site_fract_y
_atom_site_fract_z
Rb1 0.112 0.392 0.782
Rb2 0.953 0.522 0.221
Rb3 0.392 0.715 0.782
Rb4 0.522 0.304 0.220
Rb5 0.714 0.112 0.782
Rb6 0.304 0.953 0.221
F1 0.326 0.326 0.022
Hg1 0.853 0.854 0.439
Au1 0.505 0.505 0.485
Au2 0.979 0.979 0.062
```

Properties
**E_tot**: -2.096 eV/atom
**Density**: 3.93 g/cm³


The following is a GGA-PBE calculation of a relaxed Rb2HgAuF6 crystal, from Alexandria via LeMat-Bulk.

Geometry as CIF:
```
data_Rb2HgAuF6
_space_group_name_H-M_alt 'P 1'
_space_group_IT_number 1
_cell_length_a 6.464
_cell_length_b 6.464
_cell_length_c 6.650
_cell_angle_alpha 60.92
_cell_angle_beta 60.92
_cell_angle_gamma 90.00
loop_
_space_group_symop_operation_xyz
'x,y,z'
loop_
_atom_site_label
_atom_site_fract_x
_atom_site_fract_y
_atom_site_fract_z
Au1 0.500 0.500 0.000
Rb1 0.750 0.250 0.500
Rb2 0.250 0.750 0.500
F1 0.267 0.267 0.000
F2 0.220 0.220 0.560
F3 0.733 0.267 0.000
F4 0.733 0.733 0.000
F5 0.780 0.780 0.440
F6 0.267 0.733 0.000
Hg1 0.000 0.000 0.000
```

Properties
**E_tot**: -3.489 eV/atom
**Density**: 5.62 g/cm³


Magnetization list, top to bottom, in μB/f.u.: 0.09, 1.00
Formation energy (no corrections) list, top to bottom, in meV per atom: -643, -1815